No. 1
Here is a geometry-optimized LaNi structure from Alexandria via LeMat-Bulk. Energies are from PBE.

abc: 5.704 5.704 7.367
angles: 69.49 69.49 39.75
Atoms (fractional coordinates):
Ni 0.067 0.067 0.590
Ni 0.293 0.293 0.308
Ni 0.208 0.208 0.991
La 0.926 0.926 0.998
La 0.761 0.761 0.644
La 0.577 0.577 0.301

Computed properties:
Energy relative to the elements (meV per atom): -250
D(E_F) (states/eV/f.u.): 1.76
Calculated density (g/cm³): 6.92
Total DFT energy (no corrections) (eV/cell): -33.63

No. 2
Here is a geometry-optimized Zn3AuS structure from Alexandria via LeMat-Bulk. Energies are from PBE.

abc: 4.882 4.882 4.882
angles: 90.00 90.00 90.00
Atoms (fractional coordinates):
Zn 0.500 0.000 0.000
Zn 0.000 0.000 0.500
Zn 0.000 0.500 0.000
S 0.500 0.500 0.500
Au 0.000 0.000 0.000

Computed properties:
D(E_F) (states/eV/f.u.): 2.60
Distance to the lowest polymorph of the same formula (meV per atom): 0
Calculated density (g/cm³): 6.07
Total DFT energy (no corrections) (eV/cell): -9.70

No. 3
Here is a geometry-optimized KSn structure from Alexandria via LeMat-Bulk. Energies are from PBE.

abc: 7.159 8.014 10.876
angles: 90.00 90.00 90.00
Atoms (fractional coordinates):
K 0.856 0.250 0.133
K 0.144 0.750 0.867
K 0.493 0.250 0.721
K 0.356 0.250 0.367
K 0.007 0.750 0.221
K 0.993 0.250 0.779
K 0.507 0.750 0.279
K 0.644 0.750 0.633
Sn 0.334 0.427 0.054
Sn 0.334 0.073 0.054
Sn 0.666 0.573 0.946
Sn 0.166 0.573 0.554
Sn 0.666 0.927 0.946
Sn 0.166 0.927 0.554
Sn 0.834 0.073 0.446
Sn 0.834 0.427 0.446

Computed properties:
Energy relative to the elements (meV per atom): -201
D(E_F) (states/eV/f.u.): 0.66
Calculated density (g/cm³): 3.36
Total DFT energy (no corrections) (eV/cell): -44.01

No. 4
Here is a geometry-optimized TmZrMnNi structure from Alexandria via LeMat-Bulk. Energies are from PBE.

abc: 4.594 4.594 4.594
angles: 60.00 60.00 60.00
Atoms (fractional coordinates):
Ni 0.250 0.250 0.250
Tm 0.000 0.000 0.000
Mn 0.750 0.750 0.750
Zr 0.500 0.500 0.500

Computed properties:
Energy relative to the elements (meV per atom): -86
D(E_F) (states/eV/f.u.): 3.71
Calculated density (g/cm³): 9.05
Total DFT energy (no corrections) (eV/cell): -28.31

The highest total DFT energy (no corrections) belongs to which entry? Zn3AuS

Which of these has the highest D(E_F)? TmZrMnNi

Number 4 is which compound? TmZrMnNi

The highest D(E_F) belongs to which entry? TmZrMnNi